EuMoO3 at its PBEsol-relaxed geometry, computed with meta-GGA SCAN.

Summary:
D(E_F) in states/eV per atom: 0.420
Energy relative to the elements, uncorrected in eV per atom: -2.56
Density in g/cm3: 8.04
Raw total energy in eV/atom: -24.019

```
data_EuMoO3
_cell_length_a 3.939
_cell_length_b 3.939
_cell_length_c 3.939
_cell_angle_alpha 90.00
_cell_angle_beta 90.00
_cell_angle_gamma 90.00
_space_group_name_H-M_alt 'P m -3 m'
_space_group_IT_number 221
_space_group_name_Hall '-P 4 2 3'
loop_
_atom_site_label
_atom_site_type_symbol
_atom_site_fract_x
_atom_site_fract_y
_atom_site_fract_z
Eu1 Eu 0.000 0.000 0.000
Mo1 Mo 0.500 0.500 0.500
O1 O 0.000 0.500 0.500
```